Entry 1:
A relaxed LaZnIn2 crystal, computed with GGA-PBE.

Summary:
The calculation puts the total energy at -3.280 eV per atom. For the formation energy, the calculation gives -1.442 eV per formula unit. The magnetization is 0.00 μB/cell.

Cell lengths 4.6560, 4.6560, 4.7283 Å; angles 90.00, 90.00, 90.00 degrees
Last column: nearest neighbours and their distance in Å.
Atoms (fractional coordinates):
La1 0.0000 0.0000 0.0000  4 Zn 3.29, 8 In 3.32
Zn1 0.5000 0.5000 0.0000  4 La 3.29, 8 In 3.32
In1 0.0000 0.5000 0.5000  4 In 3.29, 4 Zn 3.32, 4 La 3.32
In2 0.5000 0.0000 0.5000  4 In 3.29, 4 Zn 3.32, 4 La 3.32



Entry 2:
A relaxed InTe2IrS crystal, computed with GGA-PBE.

Summary:
The calculation puts the total energy at -3.941 eV per atom. Its uncorrected formation energy is 0.461 eV per atom. The magnetization is 0.00 μB/cell.

Cell lengths 5.1940, 5.1940, 5.2094 Å; angles 90.00, 90.00, 90.00 degrees
Last column: nearest neighbours and their distance in Å.
Atoms (fractional coordinates):
In1 0.0000 0.0000 0.0000  2 Ir 2.60
Te1 0.0000 0.5000 0.5000  2 Ir 2.60
Te2 0.5000 0.0000 0.5000  2 Ir 2.60
Ir1 0.0000 0.0000 0.5000  4 Te 2.60, 2 In 2.60
S1 0.5000 0.5000 0.0000  4 In 3.67, 8 Te 3.68



Entry 3:
A relaxed CaTlSb crystal, computed with GGA-PBE.

Summary:
The calculation puts the total energy at -3.256 eV per atom. Its uncorrected formation energy is -0.426 eV per atom. The magnetization is 0.00 μB/cell.

Cell lengths 4.4213, 4.4213, 9.4781 Å; angles 90.00, 90.00, 90.00 degrees
Last column: nearest neighbours and their distance in Å.
Atoms (fractional coordinates):
Ca1 0.0000 0.0000 0.0000  1 Tl 3.05, 1 Sb 3.34
Ca2 0.5000 0.5000 0.5000  1 Tl 3.05, 1 Sb 3.34
Tl1 0.0000 0.0000 0.6787  1 Ca 3.05, 1 Sb 3.10
Tl2 0.5000 0.5000 0.1787  1 Ca 3.05, 1 Sb 3.10
Sb1 0.0000 0.0000 0.3521  1 Tl 3.10, 5 Ca 3.34-3.43
Sb2 0.5000 0.5000 0.8521  1 Tl 3.10, 5 Ca 3.34-3.43



Q: Which formula does entry 2 have?
A: InTe2IrS